ZrP5 (PBE, relaxed); energy of formation from the pure elements = -0.15 eV per atom; E_tot = -6.078 eV/atom
1.0
4.6348 0.0000 0.0000
0.0000 11.3311 0.0000
0.0000 0.0000 3.5499
Zr P
2 10
Direct
0.0000 0.0000 0.0000 Zr
0.5000 0.5000 0.0000 Zr
0.0000 0.2206 0.5000 P
0.0000 0.3591 0.0000 P
0.0000 0.5000 0.5000 P
0.0000 0.6409 0.0000 P
0.0000 0.7794 0.5000 P
0.5000 0.0000 0.5000 P
0.5000 0.1409 0.0000 P
0.5000 0.2794 0.5000 P
0.5000 0.7206 0.5000 P
0.5000 0.8591 0.0000 P

ZrP2 (PBE, relaxed); energy of formation from the pure elements = -0.44 eV per atom; E_tot = -6.891 eV/atom
1.0
3.5387 0.0000 0.0000
0.0000 13.3714 0.0000
0.0000 0.0000 5.0161
Zr P
4 8
Direct
0.0000 0.1859 0.2500 Zr
0.0000 0.8141 0.7500 Zr
0.5000 0.3141 0.7500 Zr
0.5000 0.6859 0.2500 Zr
0.0000 0.1662 0.7500 P
0.0000 0.4694 0.7500 P
0.0000 0.5306 0.2500 P
0.0000 0.8338 0.2500 P
0.5000 0.0306 0.2500 P
0.5000 0.3338 0.2500 P
0.5000 0.6662 0.7500 P
0.5000 0.9694 0.7500 P

ZrP (PBE, relaxed); energy of formation from the pure elements = -0.52 eV per atom; E_tot = -7.497 eV/atom
1.0
8.0944 0.0000 0.0000
0.0000 8.0944 0.0000
0.0000 0.0000 8.0944
Zr P
8 8
Direct
0.1445 0.1445 0.8555 Zr
0.1445 0.8555 0.1445 Zr
0.3555 0.3555 0.3555 Zr
0.3555 0.6445 0.6445 Zr
0.6445 0.3555 0.6445 Zr
0.6445 0.6445 0.3555 Zr
0.8555 0.1445 0.1445 Zr
0.8555 0.8555 0.8555 Zr
0.1708 0.1708 0.1708 P
0.1708 0.8292 0.8292 P
0.3292 0.3292 0.6708 P
0.3292 0.6708 0.3292 P
0.6708 0.3292 0.3292 P
0.6708 0.6708 0.6708 P
0.8292 0.1708 0.8292 P
0.8292 0.8292 0.1708 P

Zr14P9 (PBE, relaxed); energy of formation from the pure elements = -1.24 eV per atom; E_tot = -8.556 eV/atom
1.0
16.7909 0.0000 0.0000
0.0000 27.7288 0.0000
0.0000 0.0000 3.7032
Zr P
56 36
Direct
0.0000 0.0000 0.0000 Zr
0.0000 0.5000 0.5000 Zr
0.0136 0.1960 0.5000 Zr
0.0198 0.6776 0.5000 Zr
0.0511 0.5802 0.0000 Zr
0.0684 0.9240 0.5000 Zr
0.0990 0.1049 0.0000 Zr
0.1188 0.7562 0.0000 Zr
0.1372 0.3534 0.0000 Zr
0.1365 0.4688 0.0000 Zr
0.1663 0.2624 0.5000 Zr
0.1988 0.9909 0.0000 Zr
0.2020 0.8583 0.0000 Zr
0.2326 0.6877 0.5000 Zr
0.2455 0.5836 0.0000 Zr
0.2545 0.0836 0.5000 Zr
0.2674 0.1877 0.0000 Zr
0.2980 0.3583 0.5000 Zr
0.3012 0.4909 0.5000 Zr
0.3337 0.7624 0.0000 Zr
0.3628 0.8534 0.5000 Zr
0.3635 0.9688 0.5000 Zr
0.3812 0.2562 0.5000 Zr
0.4010 0.6049 0.5000 Zr
0.4316 0.4240 0.0000 Zr
0.4489 0.0802 0.5000 Zr
0.4802 0.1776 0.0000 Zr
0.4864 0.6960 0.0000 Zr
0.5000 0.0000 0.0000 Zr
0.5000 0.5000 0.5000 Zr
0.5136 0.3040 0.0000 Zr
0.5198 0.8224 0.0000 Zr
0.5511 0.9198 0.5000 Zr
0.5684 0.5760 0.0000 Zr
0.5990 0.3951 0.5000 Zr
0.6188 0.7438 0.5000 Zr
0.6365 0.0312 0.5000 Zr
0.6372 0.1466 0.5000 Zr
0.6663 0.2376 0.0000 Zr
0.6988 0.5091 0.5000 Zr
0.7020 0.6417 0.5000 Zr
0.7326 0.8123 0.0000 Zr
0.7455 0.9164 0.5000 Zr
0.7545 0.4164 0.0000 Zr
0.7674 0.3123 0.5000 Zr
0.7980 0.1417 0.0000 Zr
0.8012 0.0091 0.0000 Zr
0.8337 0.7376 0.5000 Zr
0.8635 0.5312 0.0000 Zr
0.8628 0.6466 0.0000 Zr
0.8812 0.2438 0.0000 Zr
0.9010 0.8951 0.0000 Zr
0.9316 0.0760 0.5000 Zr
0.9489 0.4198 0.0000 Zr
0.9802 0.3224 0.5000 Zr
0.9864 0.8040 0.5000 Zr
0.0471 0.2667 0.0000 P
0.0488 0.8571 0.0000 P
0.0625 0.4078 0.5000 P
0.1037 0.0334 0.5000 P
0.1329 0.6582 0.0000 P
0.1555 0.5376 0.5000 P
0.1590 0.1653 0.5000 P
0.2265 0.7860 0.5000 P
0.2302 0.9226 0.5000 P
0.2698 0.4226 0.0000 P
0.2735 0.2860 0.0000 P
0.3410 0.6653 0.0000 P
0.3445 0.0376 0.0000 P
0.3671 0.1582 0.5000 P
0.3963 0.5334 0.0000 P
0.4375 0.9078 0.0000 P
0.4512 0.3571 0.5000 P
0.4529 0.7667 0.5000 P
0.5471 0.2333 0.5000 P
0.5488 0.6429 0.5000 P
0.5625 0.0922 0.0000 P
0.6037 0.4666 0.0000 P
0.6329 0.8418 0.5000 P
0.6555 0.9624 0.0000 P
0.6590 0.3347 0.0000 P
0.7265 0.7140 0.0000 P
0.7302 0.5774 0.0000 P
0.7698 0.0774 0.5000 P
0.7735 0.2140 0.5000 P
0.8410 0.8347 0.5000 P
0.8445 0.4624 0.5000 P
0.8671 0.3418 0.0000 P
0.8963 0.9666 0.5000 P
0.9375 0.5922 0.5000 P
0.9512 0.1429 0.0000 P
0.9529 0.7333 0.0000 P

ZrP5 (PBE, relaxed); energy of formation from the pure elements = 0.35 eV per atom; E_tot = -5.585 eV/atom
1.0
4.9197 0.0000 0.0000
-2.4598 4.2606 0.0000
0.0000 0.0000 4.6084
Zr P
1 5
Direct
0.0000 0.0000 0.0000 Zr
0.0000 0.5000 0.5000 P
0.3333 0.6667 0.0000 P
0.5000 0.0000 0.5000 P
0.5000 0.5000 0.5000 P
0.6667 0.3333 0.0000 P

ZrP2 (PBE, relaxed); energy of formation from the pure elements = -0.77 eV per atom; E_tot = -7.225 eV/atom
1.0
3.4443 0.0000 0.0000
0.0000 3.4443 0.0000
0.0000 0.0000 8.2296
Zr P
2 4
Direct
0.0000 0.0000 0.0000 Zr
0.5000 0.5000 0.5000 Zr
0.0000 0.0000 0.3422 P
0.0000 0.0000 0.6578 P
0.5000 0.5000 0.1578 P
0.5000 0.5000 0.8422 P

ZrP3 (PBE, relaxed); energy of formation from the pure elements = -0.43 eV per atom; E_tot = -6.625 eV/atom
1.0
3.3184 0.0000 0.0000
0.0000 4.6864 0.0000
0.0000 0.0000 7.9620
Zr P
2 6
Direct
0.0000 0.0000 0.0000 Zr
0.5000 0.5000 0.5000 Zr
0.0000 0.0000 0.5000 P
0.0000 0.5000 0.2090 P
0.0000 0.5000 0.7910 P
0.5000 0.0000 0.2910 P
0.5000 0.0000 0.7090 P
0.5000 0.5000 0.0000 P

ZrP2 (PBE, relaxed); energy of formation from the pure elements = -0.01 eV per atom; E_tot = -6.470 eV/atom
1.0
0.0000 3.6541 3.6541
3.6541 0.0000 3.6541
3.6541 3.6541 0.0000
Zr P
2 4
Direct
0.1250 0.1250 0.1250 Zr
0.8750 0.8750 0.8750 Zr
0.0000 0.5000 0.5000 P
0.5000 0.0000 0.5000 P
0.5000 0.5000 0.0000 P
0.5000 0.5000 0.5000 P